## Ho14PuTh (GGA-PBE)

Data for Ho14PuTh after structural relaxation.

Computed properties:
* calculated formation energy: 69.3 meV per atom
* M_tot: 5.77 Bohr magnetons per cell
* crystal system: monoclinic

Cell: 6.890 6.890 10.982 Å, 96.47 96.47 74.09°
Fractional positions:
Ho 0.000 0.000 0.000
Ho 0.014 0.443 0.522
Ho 0.066 0.481 0.977
Ho 0.238 0.251 0.250
Ho 0.278 0.678 0.770
Ho 0.322 0.722 0.230
Ho 0.324 0.161 0.751
Ho 0.519 0.934 0.023
Ho 0.557 0.986 0.478
Ho 0.590 0.410 0.000
Ho 0.749 0.762 0.750
Ho 0.754 0.200 0.274
Ho 0.800 0.246 0.726
Ho 0.839 0.676 0.249
Pu 0.483 0.517 0.500
Th 0.079 0.921 0.500